SrLi2P, single point on PBEsol structure, DFT SCAN; raw total energy = -9.99 eV per atom; symmetry = R-3m
1.0
-2.384 2.577 -2.271
-3.296 -1.500 -2.090
-5.016 1.248 2.832
Li Sr P
2 1 1
Cartesian
-7.526 1.602 -1.828 Li
-3.170 0.722 0.298 Li
0.000 0.000 0.000 Sr
-5.348 1.162 -0.765 P



MnFe, single point on PBEsol structure, DFT SCAN; raw total energy = -17.87 eV per atom; symmetry = P-3m1
1.0
-0.289 -1.461 1.930
2.202 0.258 -1.015
1.487 5.972 4.745
Mn Fe
2 2
Cartesian
1.093 1.329 2.710 Mn
2.307 3.439 2.950 Mn
1.844 4.343 5.105 Fe
1.556 0.426 0.555 Fe



FeIrI2O, single point on PBEsol structure, DFT SCAN; formation energy without anion corrections = 2.73 eV per formula unit; symmetry = P4/mmm
1.0
-2.908 -0.966 -1.377
0.352 -4.505 2.417
-2.541 1.948 4.001
I O Fe Ir
2 1 1 1
Cartesian
-1.270 0.974 2.000 I
0.176 -2.252 1.208 I
-1.454 -0.483 -0.688 O
0.000 0.000 0.000 Fe
-2.548 -1.761 2.521 Ir



| no. | size of the total moment (μB/f.u.) |
| --- | --- |
| 1 | 0.001 |
| 2 | 0.000 |
| 3 | 0.003 |